The following is a PBE calculation of a relaxed TcMoP2S crystal, from Alexandria via LeMat-Bulk.

a = 4.746 Å, b = 4.746 Å, c = 4.531 Å
α = 90.00°, β = 90.00°, γ = 90.00°
Each line ends with the local moment (μB).
Element x y z (fractional)
Mo 0.000 0.000 0.000  0.20
P 0.000 0.500 0.000  -0.11
Tc 0.500 0.500 0.500  3.38
S 0.000 0.000 0.500  -0.06
P 0.500 0.000 0.000  -0.11

Calculated total energy: -6.2618 eV/atom
Space-group type: P4/mmm, No. 123
Energy above the most stable polymorph in this dataset: 0.040 eV/atom
Density of states at the Fermi level: 3.86 states/eV per cell
Formation energy without anion corrections: 4.84 eV/f.u.
Mass density: 4.686 Mg/m³